DFT (PBE) results for a relaxed LaMnTe2 crystal.

Values from the calculation:
**Volume**: 266.0 Å³ per cell
**Electronic total energy**: -5.2942 eV/atom
**Uncorrected formation energy**: -199 meV/atom
**M_tot**: 0.0 μB/f.u.
**SG**: I-42d (122)
**Energy above the most stable polymorph in this dataset**: 235 kJ/mol of formula units

Geometry as CIF:
```
data_LaMnTe2
_space_group_name_H-M_alt 'P 1'
_space_group_IT_number 1
_cell_length_a 8.071
_cell_length_b 8.071
_cell_length_c 8.071
_cell_angle_alpha 134.18
_cell_angle_beta 134.18
_cell_angle_gamma 66.80
loop_
_space_group_symop_operation_xyz
'x,y,z'
loop_
_atom_site_label
_atom_site_fract_x
_atom_site_fract_y
_atom_site_fract_z
La1 0.000 0.000 0.000
La2 0.750 0.250 0.500
Mn1 0.250 0.750 0.500
Mn2 0.500 0.500 0.000
Te1 0.214 0.625 0.089
Te2 0.375 0.464 0.589
Te3 0.536 0.125 0.911
Te4 0.875 0.786 0.411
```